Record 1
Entry from the Alexandria database: a relaxed structure of TbHo8In6 (GGA-PBE).

Cell and atoms, written as POSCAR:
```
TbHo8In6
1.0
4.502 2.599 6.467
-4.502 2.599 6.467
0.000 -5.198 6.467
Tb Ho In
1 8 6
Cartesian
0.000 0.000 0.000 Tb
-3.000 -0.002 8.660 Ho
-1.498 -2.599 10.742 Ho
0.000 0.000 6.465 Ho
1.501 -2.597 8.660 Ho
-1.501 2.597 10.742 Ho
0.000 0.000 12.937 Ho
1.498 2.599 8.660 Ho
3.000 0.002 10.742 Ho
-1.505 -2.590 7.622 In
-2.996 0.008 11.780 In
-1.491 2.598 7.622 In
1.491 -2.598 11.780 In
2.996 -0.008 7.622 In
1.505 2.590 11.780 In
```

Energy relative to the elements, eV per formula unit: -3.1

Record 2
Entry from the Alexandria database: a relaxed structure of Tb3Ho3In2 (GGA-PBE).

Cell and atoms, written as POSCAR:
```
Tb3Ho3In2
1.0
4.841 0.000 0.000
0.000 4.843 0.000
0.000 0.000 9.689
Tb Ho In
3 3 2
Cartesian
0.000 0.000 0.000 Tb
0.000 0.000 4.845 Tb
2.421 2.421 0.000 Tb
2.421 0.000 2.427 Ho
2.421 0.000 7.262 Ho
2.421 2.421 4.845 Ho
0.000 2.421 2.430 In
0.000 2.421 7.259 In
```

Energy above the most stable polymorph in this dataset, kJ/mol of atoms: 0.0
Energy relative to the elements, eV per formula unit: -2.1

Record 3
Entry from the Alexandria database: a relaxed structure of Tb5Ho8In (GGA-PBE).

Cell and atoms, written as POSCAR:
```
Tb5Ho8In
1.0
-4.777 4.777 4.932
4.777 -4.777 4.932
4.777 4.777 -4.932
Tb Ho In
5 8 1
Cartesian
0.000 0.000 0.000 Tb
3.799 2.773 -0.798 Tb
2.005 -0.979 5.730 Tb
0.979 2.005 4.134 Tb
2.773 5.756 0.798 Tb
1.761 -0.825 2.432 Ho
3.016 5.603 -2.500 Ho
0.651 3.110 0.892 Ho
3.952 3.016 2.500 Ho
-0.651 6.445 0.892 Ho
-1.668 4.126 4.040 Ho
0.825 1.761 7.432 Ho
1.668 5.429 4.040 Ho
4.777 0.000 2.466 In
```

Energy relative to the elements, eV per formula unit: 2.6

Record 4
Entry from the Alexandria database: a relaxed structure of Tb4Ho9In11 (GGA-PBE).

Cell and atoms, written as POSCAR:
```
Tb4Ho9In11
1.0
7.944 -11.630 0.000
7.944 11.630 0.000
0.000 0.000 3.485
Tb Ho In
4 9 11
Cartesian
2.746 1.899 0.000 Tb
2.746 -1.899 0.000 Tb
13.141 1.899 0.000 Tb
13.141 -1.899 0.000 Tb
0.000 0.000 0.000 Ho
6.174 6.432 0.000 Ho
6.237 2.228 0.000 Ho
9.713 6.432 0.000 Ho
6.237 -2.228 0.000 Ho
9.650 2.228 0.000 Ho
6.174 -6.432 0.000 Ho
9.650 -2.228 0.000 Ho
9.713 -6.432 0.000 Ho
4.359 4.270 1.742 In
7.944 8.813 1.742 In
4.701 0.000 1.742 In
7.944 4.374 1.742 In
4.359 -4.270 1.742 In
7.944 0.000 1.742 In
11.528 4.270 1.742 In
7.944 -4.374 1.742 In
11.187 0.000 1.742 In
7.944 -8.813 1.742 In
11.528 -4.270 1.742 In
```

Energy relative to the elements, eV per formula unit: -9.4

Record 5
Entry from the Alexandria database: a relaxed structure of Tb5Ho12In2 (GGA-PBE).

Cell and atoms, written as POSCAR:
```
Tb5Ho12In2
1.0
7.654 -4.626 0.000
7.654 4.626 0.000
-0.262 0.000 8.288
Tb Ho In
5 12 2
Cartesian
0.000 0.000 0.000 Tb
3.555 0.000 0.652 Tb
4.592 0.000 4.071 Tb
10.455 0.000 4.218 Tb
11.491 0.000 7.636 Tb
5.322 2.917 2.183 Ho
1.162 0.000 3.176 Ho
5.511 1.803 6.930 Ho
9.724 2.917 6.105 Ho
9.535 1.803 1.358 Ho
6.783 0.000 1.450 Ho
8.264 0.000 6.839 Ho
5.511 -1.803 6.930 Ho
5.322 -2.917 2.183 Ho
9.535 -1.803 1.358 Ho
13.885 0.000 5.113 Ho
9.724 -2.917 6.105 Ho
7.523 1.665 4.144 In
7.523 -1.665 4.144 In
```

Energy relative to the elements, eV per formula unit: -0.1

Record 6
Entry from the Alexandria database: a relaxed structure of TbHo12In6 (GGA-PBE).

Cell and atoms, written as POSCAR:
```
TbHo12In6
1.0
6.937 4.005 3.699
-6.937 4.005 3.699
0.000 -8.010 3.699
Tb Ho In
1 12 6
Cartesian
0.000 0.000 0.000 Tb
-2.613 -4.525 5.548 Ho
-5.225 0.000 5.548 Ho
-1.840 -1.062 3.938 Ho
1.840 -1.062 3.938 Ho
0.000 2.125 3.938 Ho
2.613 -4.525 5.548 Ho
-2.613 4.525 5.548 Ho
0.000 -2.125 7.159 Ho
-1.840 1.062 7.159 Ho
1.840 1.062 7.159 Ho
5.225 0.000 5.548 Ho
2.613 4.525 5.548 Ho
0.000 -3.647 4.400 In
-3.158 1.823 4.400 In
-3.158 -1.823 6.697 In
3.158 1.823 4.400 In
3.158 -1.823 6.697 In
0.000 3.647 6.697 In
```

Energy relative to the elements, eV per formula unit: -0.4

Record 7
Entry from the Alexandria database: a relaxed structure of TbHo6In5 (GGA-PBE).

Cell and atoms, written as POSCAR:
```
TbHo6In5
1.0
-2.478 4.385 7.494
2.478 -4.385 7.494
2.478 4.385 -7.494
Tb Ho In
1 6 5
Cartesian
0.000 0.000 0.000 Tb
2.478 -2.077 4.949 Ho
2.478 2.385 0.000 Ho
0.000 2.307 2.545 Ho
2.478 2.077 4.949 Ho
0.000 1.999 7.494 Ho
0.000 6.462 2.545 Ho
2.478 0.000 2.277 In
0.000 0.000 4.838 In
0.000 4.385 0.000 In
0.000 0.000 10.150 In
0.000 4.385 5.217 In
```

Energy relative to the elements, eV per formula unit: -4.5

Record 8
Entry from the Alexandria database: a relaxed structure of Tb2HoIn3 (GGA-PBE).

Cell and atoms, written as POSCAR:
```
Tb2HoIn3
1.0
3.743 0.000 0.000
0.000 3.743 0.000
0.000 0.000 11.414
Tb Ho In
2 1 3
Cartesian
0.000 0.000 1.918 Tb
0.000 0.000 9.495 Tb
0.000 0.000 5.707 Ho
1.871 1.871 0.000 In
1.871 1.871 3.836 In
1.871 1.871 7.578 In
```

Energy above the most stable polymorph in this dataset, kJ/mol of atoms: 0.0
Energy relative to the elements, eV per formula unit: -2.8

| no. | DOS at the Fermi energy (states/eV/f.u.) | magnetic moment (Bohr magnetons per cell) | total DFT energy (no corrections) (eV per atom) |
| --- | --- | --- | --- |
| 1 | 20.99 | 0.0 | -4.05 |
| 2 | 12.47 | 0.0 | -4.40 |
| 3 | 17.04 | 0.0 | -4.28 |
| 4 | 18.46 | 0.0 | -4.13 |
| 5 | 27.70 | 0.0 | -4.40 |
| 6 | 26.41 | 0.0 | -4.02 |
| 7 | 12.07 | 0.0 | -4.19 |
| 8 | 3.29 | 0.0 | -4.14 |